First-principles (PBE) data for a relaxed YPuInO6 crystal, as listed in Alexandria via LeMat-Bulk.

Properties
Volume = 14.5 A^3/atom
Theoretical density = 6.93 g cm⁻³
Size of the total moment = 4.000 Bohr magnetons per cell
ΔE_f (raw) = -2.477 eV/atom

Cell lengths 5.5274, 5.5274, 9.8504 Å; angles 90.00, 90.00, 120.00 degrees
Site moments in Bohr magnetons follow the coordinates.
Atoms (fractional coordinates):
O1 0.0168 0.3528 0.6338  -0.07
O2 0.6472 0.6640 0.6338  -0.07
Y1 0.0000 0.0000 0.0000  -0.01
O3 0.6639 0.6472 0.1338  -0.07
O4 0.3528 0.0168 0.1338  -0.07
O5 0.9832 0.6472 0.3662  -0.07
O6 0.3528 0.3360 0.3662  -0.07
O7 0.9832 0.3360 0.1338  -0.07
O8 0.6639 0.0168 0.3662  -0.07
Y2 0.0000 0.0000 0.5000  -0.01
Pu1 0.6667 0.3333 0.2500  2.48
O9 0.3361 0.3528 0.8662  -0.07
O10 0.0168 0.6640 0.8662  -0.07
In1 0.3333 0.6667 0.2500  0.01
O11 0.6472 0.9832 0.8662  -0.07
In2 0.6667 0.3333 0.7500  0.01
Pu2 0.3333 0.6667 0.7500  2.48
O12 0.3361 0.9832 0.6338  -0.07